1.
# SrCrW3, relaxed, DFT PBE-GGA
data_SrCrW3
_chemical_formula_sum 'Sr1 Cr1 W3'
_space_group_name_H-M_alt 'P 1'
_space_group_IT_number 1
_cell_length_a 4.685
_cell_length_b 4.685
_cell_length_c 4.685
_cell_angle_alpha 90.00
_cell_angle_beta 90.00
_cell_angle_gamma 90.00
loop_
_space_group_symop_operation_xyz
'x,y,z'
loop_
_atom_site_label
_atom_site_type_symbol
_atom_site_fract_x
_atom_site_fract_y
_atom_site_fract_z
Sr1 Sr 0.000 0.000 0.000
Cr1 Cr 0.500 0.500 0.500
W1 W 0.000 0.500 0.500
W2 W 0.500 0.000 0.500
W3 W 0.500 0.500 0.000
# - energy above the lowest structure with this stoichiometry (meV per atom) = 0
# - formation energy from the elements (meV/atom) = 1433
# - uncorrected energy (hartree per atom) = -0.3160

2.
# Pm2Dy2N3, relaxed, DFT PBE-GGA
data_Pm2Dy2N3
_chemical_formula_sum 'Pm4 Dy4 N6'
_space_group_name_H-M_alt 'P 1'
_space_group_IT_number 1
_cell_length_a 12.255
_cell_length_b 3.695
_cell_length_c 6.544
_cell_angle_alpha 90.00
_cell_angle_beta 97.05
_cell_angle_gamma 90.00
loop_
_space_group_symop_operation_xyz
'x,y,z'
loop_
_atom_site_label
_atom_site_type_symbol
_atom_site_fract_x
_atom_site_fract_y
_atom_site_fract_z
Pm1 Pm 0.146 0.000 0.356
Pm2 Pm 0.354 0.500 0.644
Pm3 Pm 0.646 0.500 0.356
Pm4 Pm 0.854 0.000 0.644
Dy1 Dy 0.109 0.500 0.878
Dy2 Dy 0.391 0.000 0.122
Dy3 Dy 0.609 0.000 0.878
Dy4 Dy 0.891 0.500 0.122
N1 N 0.000 0.000 0.000
N2 N 0.155 0.500 0.568
N3 N 0.345 0.000 0.432
N4 N 0.500 0.500 0.000
N5 N 0.655 0.000 0.568
N6 N 0.845 0.500 0.432
# - formation energy from raw total energies (eV per atom) = -1.05
# - uncorrected energy (hartree per atom) = -0.2680

3.
# Li2PaCu2O6, relaxed, DFT PBE-GGA
data_Li2PaCu2O6
_chemical_formula_sum 'Li2 Pa1 Cu2 O6'
_space_group_name_H-M_alt 'P 1'
_space_group_IT_number 1
_cell_length_a 5.325
_cell_length_b 5.325
_cell_length_c 5.117
_cell_angle_alpha 90.00
_cell_angle_beta 90.00
_cell_angle_gamma 120.00
loop_
_space_group_symop_operation_xyz
'x,y,z'
loop_
_atom_site_label
_atom_site_type_symbol
_atom_site_fract_x
_atom_site_fract_y
_atom_site_fract_z
Li1 Li 0.333 0.667 0.000
Li2 Li 0.667 0.333 0.000
Pa1 Pa 0.000 0.000 0.500
Cu1 Cu 0.333 0.667 0.500
Cu2 Cu 0.667 0.333 0.500
O1 O 0.000 0.353 0.275
O2 O 0.000 0.647 0.725
O3 O 0.353 0.000 0.275
O4 O 0.353 0.353 0.725
O5 O 0.647 0.000 0.725
O6 O 0.647 0.647 0.275
# - formation energy from raw total energies (eV per atom) = -1.79
# - uncorrected energy (hartree per atom) = -0.2370

4.
# LaGa2RuO8, relaxed, DFT PBE-GGA
data_LaGa2RuO8
_chemical_formula_sum 'La1 Ga2 Ru1 O8'
_space_group_name_H-M_alt 'P 1'
_space_group_IT_number 1
_cell_length_a 4.709
_cell_length_b 6.584
_cell_length_c 4.733
_cell_angle_alpha 90.00
_cell_angle_beta 91.01
_cell_angle_gamma 90.00
loop_
_space_group_symop_operation_xyz
'x,y,z'
loop_
_atom_site_label
_atom_site_type_symbol
_atom_site_fract_x
_atom_site_fract_y
_atom_site_fract_z
La1 La 0.000 0.000 0.000
Ga1 Ga 0.500 0.262 0.500
Ga2 Ga 0.500 0.738 0.500
Ru1 Ru 0.000 0.500 0.000
O1 O 0.207 0.295 0.202
O2 O 0.207 0.705 0.202
O3 O 0.293 0.500 0.703
O4 O 0.332 0.000 0.663
O5 O 0.668 0.000 0.337
O6 O 0.707 0.500 0.297
O7 O 0.793 0.295 0.798
O8 O 0.793 0.705 0.798
# - formation energy from raw total energies (eV per atom) = -1.57
# - uncorrected energy (hartree per atom) = -0.2411

5.
# VRe3, relaxed, DFT PBE-GGA
data_VRe3
_chemical_formula_sum 'V4 Re12'
_space_group_name_H-M_alt 'P 1'
_space_group_IT_number 1
_cell_length_a 6.164
_cell_length_b 6.164
_cell_length_c 6.164
_cell_angle_alpha 90.00
_cell_angle_beta 90.00
_cell_angle_gamma 90.00
loop_
_space_group_symop_operation_xyz
'x,y,z'
loop_
_atom_site_label
_atom_site_type_symbol
_atom_site_fract_x
_atom_site_fract_y
_atom_site_fract_z
V1 V 0.000 0.000 0.000
V2 V 0.000 0.500 0.500
V3 V 0.500 0.000 0.500
V4 V 0.500 0.500 0.000
Re1 Re 0.000 0.000 0.500
Re2 Re 0.000 0.500 0.000
Re3 Re 0.250 0.250 0.250
Re4 Re 0.250 0.250 0.750
Re5 Re 0.250 0.750 0.250
Re6 Re 0.250 0.750 0.750
Re7 Re 0.500 0.000 0.000
Re8 Re 0.500 0.500 0.500
Re9 Re 0.750 0.250 0.250
Re10 Re 0.750 0.250 0.750
Re11 Re 0.750 0.750 0.250
Re12 Re 0.750 0.750 0.750
# - energy above the lowest structure with this stoichiometry (meV per atom) = 35
# - formation energy from the elements (meV/atom) = -48
# - uncorrected energy (hartree per atom) = -0.4286

6.
# TlBi2Pb, relaxed, DFT PBE-GGA
data_TlBi2Pb
_chemical_formula_sum 'Tl3 Bi6 Pb3'
_space_group_name_H-M_alt 'P 1'
_space_group_IT_number 1
_cell_length_a 4.461
_cell_length_b 4.461
_cell_length_c 23.665
_cell_angle_alpha 90.00
_cell_angle_beta 90.00
_cell_angle_gamma 120.00
loop_
_space_group_symop_operation_xyz
'x,y,z'
loop_
_atom_site_label
_atom_site_type_symbol
_atom_site_fract_x
_atom_site_fract_y
_atom_site_fract_z
Tl1 Tl 0.000 0.000 0.000
Tl2 Tl 0.333 0.667 0.667
Tl3 Tl 0.667 0.333 0.333
Bi1 Bi 0.000 0.000 0.250
Bi2 Bi 0.000 0.000 0.750
Bi3 Bi 0.333 0.667 0.417
Bi4 Bi 0.333 0.667 0.917
Bi5 Bi 0.667 0.333 0.083
Bi6 Bi 0.667 0.333 0.583
Pb1 Pb 0.000 0.000 0.500
Pb2 Pb 0.333 0.667 0.167
Pb3 Pb 0.667 0.333 0.833
# - energy above the lowest structure with this stoichiometry (meV per atom) = 137
# - formation energy from the elements (meV/atom) = 150
# - uncorrected energy (hartree per atom) = -0.1216

7.
# KRbGeB2, relaxed, DFT PBE-GGA
data_KRbGeB2
_chemical_formula_sum 'K1 Rb1 Ge1 B2'
_space_group_name_H-M_alt 'P 1'
_space_group_IT_number 1
_cell_length_a 5.204
_cell_length_b 5.204
_cell_length_c 5.742
_cell_angle_alpha 90.00
_cell_angle_beta 90.00
_cell_angle_gamma 90.00
loop_
_space_group_symop_operation_xyz
'x,y,z'
loop_
_atom_site_label
_atom_site_type_symbol
_atom_site_fract_x
_atom_site_fract_y
_atom_site_fract_z
K1 K 0.000 0.000 0.000
Rb1 Rb 0.000 0.000 0.500
Ge1 Ge 0.500 0.500 0.000
B1 B 0.000 0.500 0.500
B2 B 0.500 0.000 0.500
# - formation energy from the elements (meV/atom) = 2408
# - uncorrected energy (hartree per atom) = -0.0588

8.
# TlAsPb2, relaxed, DFT PBE-GGA
data_TlAsPb2
_chemical_formula_sum 'Tl1 As1 Pb2'
_space_group_name_H-M_alt 'P 1'
_space_group_IT_number 1
_cell_length_a 5.010
_cell_length_b 5.010
_cell_length_c 4.542
_cell_angle_alpha 90.00
_cell_angle_beta 90.00
_cell_angle_gamma 90.00
loop_
_space_group_symop_operation_xyz
'x,y,z'
loop_
_atom_site_label
_atom_site_type_symbol
_atom_site_fract_x
_atom_site_fract_y
_atom_site_fract_z
Tl1 Tl 0.000 0.000 0.000
As1 As 0.500 0.500 0.000
Pb1 Pb 0.000 0.500 0.500
Pb2 Pb 0.500 0.000 0.500
# - energy above the lowest structure with this stoichiometry (meV per atom) = 59
# - formation energy from the elements (meV/atom) = 82
# - uncorrected energy (hartree per atom) = -0.1296

9.
# Pm4SmAl2, relaxed, DFT PBE-GGA
data_Pm4SmAl2
_chemical_formula_sum 'Pm4 Sm1 Al2'
_space_group_name_H-M_alt 'P 1'
_space_group_IT_number 1
_cell_length_a 8.670
_cell_length_b 8.670
_cell_length_c 8.670
_cell_angle_alpha 36.23
_cell_angle_beta 36.23
_cell_angle_gamma 36.23
loop_
_space_group_symop_operation_xyz
'x,y,z'
loop_
_atom_site_label
_atom_site_type_symbol
_atom_site_fract_x
_atom_site_fract_y
_atom_site_fract_z
Pm1 Pm 0.087 0.087 0.087
Pm2 Pm 0.347 0.347 0.347
Pm3 Pm 0.653 0.653 0.653
Pm4 Pm 0.913 0.913 0.913
Sm1 Sm 0.500 0.500 0.500
Al1 Al 0.220 0.220 0.220
Al2 Al 0.780 0.780 0.780
# - energy above the lowest structure with this stoichiometry (meV per atom) = 0
# - formation energy from the elements (meV/atom) = -179
# - uncorrected energy (hartree per atom) = -0.1704

10.
# HfBe2CuN, relaxed, DFT PBE-GGA
data_HfBe2CuN
_chemical_formula_sum 'Hf1 Be2 Cu1 N1'
_space_group_name_H-M_alt 'P 1'
_space_group_IT_number 1
_cell_length_a 3.882
_cell_length_b 3.882
_cell_length_c 4.045
_cell_angle_alpha 90.00
_cell_angle_beta 90.00
_cell_angle_gamma 90.00
loop_
_space_group_symop_operation_xyz
'x,y,z'
loop_
_atom_site_label
_atom_site_type_symbol
_atom_site_fract_x
_atom_site_fract_y
_atom_site_fract_z
Hf1 Hf 0.000 0.000 0.000
Be1 Be 0.000 0.500 0.500
Be2 Be 0.500 0.000 0.500
Cu1 Cu 0.500 0.500 0.500
N1 N 0.500 0.500 0.000
# - formation energy from raw total energies (eV per atom) = 0.79
# - uncorrected energy (hartree per atom) = -0.1902

11.
# GaReSe3, relaxed, DFT PBE-GGA
data_GaReSe3
_chemical_formula_sum 'Ga1 Re1 Se3'
_space_group_name_H-M_alt 'P 1'
_space_group_IT_number 1
_cell_length_a 4.949
_cell_length_b 4.949
_cell_length_c 4.949
_cell_angle_alpha 90.00
_cell_angle_beta 90.00
_cell_angle_gamma 90.00
loop_
_space_group_symop_operation_xyz
'x,y,z'
loop_
_atom_site_label
_atom_site_type_symbol
_atom_site_fract_x
_atom_site_fract_y
_atom_site_fract_z
Ga1 Ga 0.000 0.000 0.000
Re1 Re 0.500 0.500 0.500
Se1 Se 0.000 0.500 0.500
Se2 Se 0.500 0.000 0.500
Se3 Se 0.500 0.500 0.000
# - energy above the lowest structure with this stoichiometry (meV per atom) = 0
# - formation energy from raw total energies (eV per atom) = 0.34
# - uncorrected energy (hartree per atom) = -0.1780

12.
# La4ScSi, relaxed, DFT PBE-GGA
data_La4ScSi
_chemical_formula_sum 'La4 Sc1 Si1'
_space_group_name_H-M_alt 'P 1'
_space_group_IT_number 1
_cell_length_a 6.424
_cell_length_b 6.424
_cell_length_c 6.424
_cell_angle_alpha 60.00
_cell_angle_beta 60.00
_cell_angle_gamma 60.00
loop_
_space_group_symop_operation_xyz
'x,y,z'
loop_
_atom_site_label
_atom_site_type_symbol
_atom_site_fract_x
_atom_site_fract_y
_atom_site_fract_z
La1 La 0.125 0.125 0.125
La2 La 0.125 0.125 0.625
La3 La 0.125 0.625 0.125
La4 La 0.625 0.125 0.125
Sc1 Sc 0.750 0.750 0.750
Si1 Si 0.500 0.500 0.500
# - formation energy from raw total energies (eV per atom) = 0.43
# - uncorrected energy (hartree per atom) = -0.1771